(1)
# KSi3Sb, single point on PBEsol structure, DFT meta-GGA SCAN
data_KSi3Sb
_cell_length_a 5.191
_cell_length_b 5.191
_cell_length_c 5.191
_cell_angle_alpha 90.00
_cell_angle_beta 90.00
_cell_angle_gamma 90.00
_space_group_name_H-M_alt 'P 1'
_space_group_IT_number 1
loop_
_space_group_symop_operation_xyz
'x,y,z'
loop_
_atom_site_label
_atom_site_type_symbol
_atom_site_fract_x
_atom_site_fract_y
_atom_site_fract_z
Si1 Si 0.000 0.500 0.000
K1 K 0.000 0.000 0.000
Sb1 Sb 0.500 0.500 0.500
Si2 Si 0.500 0.000 0.000
Si3 Si 0.000 0.000 0.500
# Formation energy without anion corrections (eV/f.u.): 11.139
# Energy (eV for the cell shown): -64.5
# Crystal system: cubic

---

(2)
# K2SiSb, single point on PBEsol structure, DFT meta-GGA SCAN
data_K2SiSb
_cell_length_a 3.159
_cell_length_b 5.840
_cell_length_c 6.503
_cell_angle_alpha 95.70
_cell_angle_beta 90.00
_cell_angle_gamma 105.69
_space_group_name_H-M_alt 'P 1'
_space_group_IT_number 1
loop_
_space_group_symop_operation_xyz
'x,y,z'
loop_
_atom_site_label
_atom_site_type_symbol
_atom_site_fract_x
_atom_site_fract_y
_atom_site_fract_z
K1 K 0.750 0.499 0.754
Si1 Si 0.500 0.000 0.000
K2 K 0.250 0.501 0.246
Sb1 Sb 0.000 0.000 0.500
# Formation energy without anion corrections (eV/f.u.): 1.139
# Energy (eV for the cell shown): -62.8
# Crystal system: monoclinic
# ΔE to the lowest computed polymorph (eV/atom): 0.499

---

(3)
# K8SnSb4, single point on PBEsol structure, DFT meta-GGA SCAN
data_K8SnSb4
_cell_length_a 11.436
_cell_length_b 11.436
_cell_length_c 11.436
_cell_angle_alpha 60.00
_cell_angle_beta 60.00
_cell_angle_gamma 60.00
_space_group_name_H-M_alt 'P 1'
_space_group_IT_number 1
loop_
_space_group_symop_operation_xyz
'x,y,z'
loop_
_atom_site_label
_atom_site_type_symbol
_atom_site_fract_x
_atom_site_fract_y
_atom_site_fract_z
Sb1 Sb 0.353 0.940 0.353
K1 K 0.523 0.977 0.523
K2 K 0.523 0.523 0.977
K3 K 0.125 0.125 0.625
K4 K 0.125 0.125 0.125
K5 K 0.977 0.523 0.977
Sb2 Sb 0.897 0.310 0.897
K6 K 0.977 0.523 0.523
Sn1 Sn 0.000 0.000 0.000
K7 K 0.273 0.727 0.273
K8 K 0.523 0.977 0.977
Sb3 Sb 0.353 0.353 0.940
Sb4 Sb 0.897 0.897 0.310
K9 K 0.727 0.273 0.273
K10 K 0.125 0.625 0.125
K11 K 0.727 0.273 0.727
Sn2 Sn 0.250 0.250 0.250
K12 K 0.273 0.727 0.727
Sb5 Sb 0.353 0.353 0.353
K13 K 0.977 0.977 0.523
Sb6 Sb 0.897 0.897 0.897
K14 K 0.625 0.125 0.125
K15 K 0.273 0.273 0.727
K16 K 0.727 0.727 0.273
Sb7 Sb 0.940 0.353 0.353
Sb8 Sb 0.310 0.897 0.897
# Formation energy without anion corrections (eV/f.u.): -6.991
# Energy (eV for the cell shown): -517.2
# Crystal system: cubic

---

(4)
# K2SnSbTe, single point on PBEsol structure, DFT meta-GGA SCAN
data_K2SnSbTe
_cell_length_a 5.590
_cell_length_b 6.597
_cell_length_c 6.597
_cell_angle_alpha 90.00
_cell_angle_beta 90.00
_cell_angle_gamma 90.00
_space_group_name_H-M_alt 'P 1'
_space_group_IT_number 1
loop_
_space_group_symop_operation_xyz
'x,y,z'
loop_
_atom_site_label
_atom_site_type_symbol
_atom_site_fract_x
_atom_site_fract_y
_atom_site_fract_z
K1 K 0.000 0.000 0.500
K2 K 0.000 0.500 0.000
Te1 Te 0.500 0.000 0.000
Sb1 Sb 0.000 0.000 0.000
Sn1 Sn 0.500 0.500 0.500
# Formation energy without anion corrections (eV/f.u.): 0.961
# Energy (eV for the cell shown): -126.1
# Crystal system: tetragonal

---

(5)
# KSrSb2, single point on PBEsol structure, DFT meta-GGA SCAN
data_KSrSb2
_cell_length_a 3.405
_cell_length_b 6.085
_cell_length_c 6.084
_cell_angle_alpha 90.00
_cell_angle_beta 90.00
_cell_angle_gamma 90.00
_space_group_name_H-M_alt 'P 1'
_space_group_IT_number 1
loop_
_space_group_symop_operation_xyz
'x,y,z'
loop_
_atom_site_label
_atom_site_type_symbol
_atom_site_fract_x
_atom_site_fract_y
_atom_site_fract_z
Sb1 Sb 0.000 0.375 0.500
K1 K 0.500 0.875 0.500
Sr1 Sr 0.500 0.375 0.000
Sb2 Sb 0.000 0.875 0.000
# Formation energy without anion corrections (eV/f.u.): -2.284
# Energy (eV for the cell shown): -107.4
# Crystal system: tetragonal
# ΔE to the lowest computed polymorph (eV/atom): 0.161

---

(6)
# KSrSb2, single point on PBEsol structure, DFT meta-GGA SCAN
data_KSrSb2
_cell_length_a 5.154
_cell_length_b 5.154
_cell_length_c 8.558
_cell_angle_alpha 72.47
_cell_angle_beta 72.47
_cell_angle_gamma 60.00
_space_group_name_H-M_alt 'P 1'
_space_group_IT_number 1
loop_
_space_group_symop_operation_xyz
'x,y,z'
loop_
_atom_site_label
_atom_site_type_symbol
_atom_site_fract_x
_atom_site_fract_y
_atom_site_fract_z
Sr1 Sr 0.454 0.454 0.638
Sb1 Sb 0.726 0.726 0.823
K1 K 0.285 0.285 0.146
Sb2 Sb 0.036 0.036 0.892
# Formation energy without anion corrections (eV/f.u.): -1.428
# Energy (eV for the cell shown): -106.6
# Crystal system: trigonal
# ΔE to the lowest computed polymorph (eV/atom): 0.375

---

(7)
# KSrSb, single point on PBEsol structure, DFT meta-GGA SCAN
data_KSrSb
_cell_length_a 4.545
_cell_length_b 4.545
_cell_length_c 6.024
_cell_angle_alpha 112.17
_cell_angle_beta 112.17
_cell_angle_gamma 90.00
_space_group_name_H-M_alt 'P 1'
_space_group_IT_number 1
loop_
_space_group_symop_operation_xyz
'x,y,z'
loop_
_atom_site_label
_atom_site_type_symbol
_atom_site_fract_x
_atom_site_fract_y
_atom_site_fract_z
K1 K 0.990 0.990 0.981
Sr1 Sr 0.688 0.688 0.377
Sb1 Sb 0.321 0.321 0.642
# Formation energy without anion corrections (eV/f.u.): -1.904
# Energy (eV for the cell shown): -69.8
# Crystal system: tetragonal

---

(8)
# KSrSb2, single point on PBEsol structure, DFT meta-GGA SCAN
data_KSrSb2
_cell_length_a 5.660
_cell_length_b 5.660
_cell_length_c 5.660
_cell_angle_alpha 60.00
_cell_angle_beta 60.00
_cell_angle_gamma 60.00
_space_group_name_H-M_alt 'P 1'
_space_group_IT_number 1
loop_
_space_group_symop_operation_xyz
'x,y,z'
loop_
_atom_site_label
_atom_site_type_symbol
_atom_site_fract_x
_atom_site_fract_y
_atom_site_fract_z
Sb1 Sb 0.750 0.750 0.750
Sr1 Sr 0.500 0.500 0.500
K1 K 0.000 0.000 0.000
Sb2 Sb 0.250 0.250 0.250
# Formation energy without anion corrections (eV/f.u.): -2.040
# Energy (eV for the cell shown): -107.2
# Crystal system: cubic
# ΔE to the lowest computed polymorph (eV/atom): 0.222